No. 1
LaPrYEr, optimized geometry, DFT PBE; DOS(E_F) = 1.79 states/eV/atom; final energy = -5.0964 eV per atom; polymorph energy (0 for the lowest one) = 0.0000 eV per atom; energy relative to the elements = 8 kJ per mole of atoms
1.0
0.000 4.095 4.095
4.095 0.000 4.095
4.095 4.095 0.000
La Pr Y Er
1 1 1 1
Direct
0.000 0.000 0.000
0.500 0.500 0.500
0.750 0.750 0.750
0.250 0.250 0.250

***

No. 2
CaTePI2, optimized geometry, DFT PBE; DOS(E_F) = 0.48 states/eV/atom; energy relative to the elements, uncorrected = 0.132 eV/atom; final energy = -2.5989 eV per atom; polymorph energy (0 for the lowest one) = 0.4620 eV per atom
1.0
5.988 0.000 0.000
0.000 5.988 0.000
0.000 0.000 6.397
Ca Te P I
1 1 1 2
Direct
0.000 0.000 0.000
0.000 0.000 0.500
0.500 0.500 0.500
0.000 0.500 0.000
0.500 0.000 0.000

***

No. 3
NaCdGe, optimized geometry, DFT PBE; DOS(E_F) = 0.40 states/eV/atom; final energy = -2.3399 eV per atom; polymorph energy (0 for the lowest one) = 0.0514 eV per atom; energy relative to the elements = -5 kJ per mole of atoms
1.0
4.729 0.000 0.000
-2.365 4.096 0.000
0.000 0.000 3.574
Na Cd Ge
1 1 1
Direct
0.000 0.000 0.000
0.333 0.667 0.500
0.667 0.333 0.500

***

No. 4
Ac2Pm3DySe6, optimized geometry, DFT PBE; DOS(E_F) = 0.51 states/eV/atom; energy relative to the elements, uncorrected = -1.811 eV/atom; final energy = -5.8092 eV per atom
1.0
3.694 -6.419 0.000
3.694 6.419 0.000
-2.487 0.000 6.959
Ac Pm Dy Se
2 3 1 6
Direct
0.166 0.834 0.000
0.834 0.166 0.000
0.000 0.000 0.500
0.326 0.674 0.500
0.674 0.326 0.500
0.500 0.500 0.000
0.098 0.416 0.745
0.271 0.271 0.262
0.416 0.098 0.745
0.584 0.902 0.255
0.729 0.729 0.738
0.902 0.584 0.255

***

No. 5
MoC2, optimized geometry, DFT PBE; DOS(E_F) = 0.54 states/eV/atom; final energy = -9.1646 eV per atom; polymorph energy (0 for the lowest one) = 0.0761 eV per atom; energy relative to the elements = 57 kJ per mole of atoms
1.0
2.536 -1.473 0.000
2.536 1.473 0.000
-1.678 0.000 4.124
Mo C
1 2
Direct
0.000 0.000 0.000
0.444 0.444 0.336
0.556 0.556 0.664

***

No. 6
AcCe3Pr4Se8, optimized geometry, DFT PBE; DOS(E_F) = 1.42 states/eV/atom; energy relative to the elements, uncorrected = -1.834 eV/atom; final energy = -6.1406 eV per atom
1.0
4.272 2.466 6.980
-4.272 2.466 6.980
0.000 -4.932 6.980
Ac Ce Pr Se
1 3 4 8
Direct
0.000 0.000 0.000
0.000 0.500 0.500
0.500 0.000 0.500
0.500 0.500 0.000
0.000 0.000 0.500
0.000 0.500 0.000
0.500 0.000 0.000
0.500 0.500 0.500
0.252 0.252 0.252
0.254 0.254 0.743
0.254 0.743 0.254
0.257 0.746 0.746
0.743 0.254 0.254
0.746 0.257 0.746
0.746 0.746 0.257
0.748 0.748 0.748

***

No. 7
La3Y2Er3, optimized geometry, DFT PBE; DOS(E_F) = 1.73 states/eV/atom; final energy = -5.1407 eV per atom; polymorph energy (0 for the lowest one) = 0.0081 eV per atom; energy relative to the elements = 3 kJ per mole of atoms
1.0
-2.510 2.577 10.347
2.510 -2.577 10.347
2.510 2.577 -10.347
La Y Er
3 2 3
Direct
0.000 0.000 0.000
0.377 0.877 0.500
0.623 0.123 0.500
0.248 0.248 0.000
0.752 0.752 0.000
0.127 0.627 0.500
0.500 0.500 0.000
0.873 0.373 0.500

***

No. 8
CeGd2Sn, optimized geometry, DFT PBE; DOS(E_F) = 1.81 states/eV/atom; final energy = -9.8286 eV per atom; polymorph energy (0 for the lowest one) = 0.1030 eV per atom; energy relative to the elements = -29 kJ per mole of atoms
1.0
4.062 0.000 0.000
0.000 4.062 0.000
0.000 0.000 7.087
Ce Gd Sn
1 2 1
Direct
0.000 0.000 0.000
0.500 0.500 0.276
0.500 0.500 0.724
0.000 0.000 0.500

***

No. 9
Cs2RbZnGe2, optimized geometry, DFT PBE; DOS(E_F) = 0.46 states/eV/atom; final energy = -2.1682 eV per atom; polymorph energy (0 for the lowest one) = 0.0564 eV per atom; energy relative to the elements = 3 kJ per mole of atoms
1.0
7.486 -2.084 0.000
7.486 2.084 0.000
-0.331 0.000 7.837
Cs Rb Zn Ge
2 1 1 2
Direct
0.000 0.000 0.000
0.650 0.650 0.516
0.763 0.763 0.039
0.351 0.351 0.681
0.376 0.376 0.331
0.929 0.929 0.503

***

No. 10
Ac2PmTm, optimized geometry, DFT PBE; DOS(E_F) = 1.17 states/eV/atom; final energy = -4.3124 eV per atom; polymorph energy (0 for the lowest one) = 0.0024 eV per atom; energy relative to the elements = 5 kJ per mole of atoms
1.0
6.389 -3.814 0.000
6.389 3.814 0.000
-2.270 0.000 6.214
Ac Pm Tm
4 2 2
Direct
0.123 0.373 0.247
0.373 0.123 0.747
0.627 0.877 0.253
0.877 0.627 0.753
0.374 0.626 0.750
0.626 0.374 0.250
0.124 0.876 0.250
0.876 0.124 0.750

***

No. 11
PrPaGe2, optimized geometry, DFT PBE; DOS(E_F) = 1.21 states/eV/atom; final energy = -6.3499 eV per atom; polymorph energy (0 for the lowest one) = 0.1279 eV per atom; energy relative to the elements = -46 kJ per mole of atoms
1.0
3.383 0.000 0.000
0.000 3.383 0.000
0.000 0.000 8.154
Pr Pa Ge
1 1 2
Direct
0.000 0.000 0.000
0.000 0.000 0.500
0.500 0.500 0.261
0.500 0.500 0.739

***

No. 12
PmScAu4, optimized geometry, DFT PBE; DOS(E_F) = 0.25 states/eV/atom; final energy = -4.8060 eV per atom; energy relative to the elements = -75 kJ per mole of atoms
1.0
3.695 0.000 0.000
0.000 3.695 0.000
0.000 0.000 9.101
Pm Sc Au
1 1 4
Direct
0.000 0.000 0.000
0.500 0.500 0.500
0.000 0.000 0.345
0.000 0.000 0.655
0.500 0.500 0.180
0.500 0.500 0.820

***

No. 13
Nb2FeRe, optimized geometry, DFT PBE; DOS(E_F) = 1.17 states/eV/atom; final energy = -9.6903 eV per atom; energy relative to the elements = 55 kJ per mole of atoms
1.0
-3.512 3.512 2.700
3.512 -3.512 2.700
3.512 3.512 -2.700
Nb Fe Re
4 2 2
Direct
0.110 0.625 0.985
0.375 0.360 0.485
0.640 0.125 0.015
0.875 0.890 0.515
0.000 0.000 0.000
0.750 0.250 0.500
0.250 0.750 0.500
0.500 0.500 0.000

***

No. 14
La2Ge2Pd, optimized geometry, DFT PBE; DOS(E_F) = 0.41 states/eV/atom; final energy = -5.6763 eV per atom; energy relative to the elements = -79 kJ per mole of atoms
1.0
7.112 0.000 0.000
0.000 7.112 0.000
0.000 0.000 4.693
La Ge Pd
4 4 2
Direct
0.174 0.326 0.000
0.326 0.826 0.000
0.674 0.174 0.000
0.826 0.674 0.000
0.134 0.634 0.500
0.366 0.134 0.500
0.634 0.866 0.500
0.866 0.366 0.500
0.000 0.000 0.500
0.500 0.500 0.500

***

No. 15
Tc2TeMo, optimized geometry, DFT PBE; DOS(E_F) = 0.96 states/eV/atom; energy relative to the elements, uncorrected = 0.548 eV/atom; final energy = -8.1285 eV per atom
1.0
2.759 -4.419 0.000
2.759 4.419 0.000
-1.191 0.000 2.743
Tc Te Mo
2 1 1
Direct
0.000 0.500 0.000
0.500 0.000 0.000
0.000 0.000 0.500
0.500 0.500 0.500

***

No. 16
CePmEr14, optimized geometry, DFT PBE; DOS(E_F) = 1.80 states/eV/atom; final energy = -4.5932 eV per atom; energy relative to the elements = 6 kJ per mole of atoms
1.0
11.034 0.000 0.000
0.000 4.024 5.578
0.000 -4.024 5.578
Ce Pm Er
1 1 14
Direct
0.000 0.000 0.000
0.000 0.562 0.562
0.000 0.077 0.490
0.000 0.490 0.077
0.236 0.765 0.765
0.251 0.276 0.699
0.251 0.699 0.276
0.268 0.211 0.211
0.500 0.420 0.420
0.500 0.492 0.903
0.500 0.903 0.492
0.500 0.970 0.970
0.732 0.211 0.211
0.749 0.276 0.699
0.749 0.699 0.276
0.764 0.765 0.765

***

No. 17
ZnHg4Pb, optimized geometry, DFT PBE; DOS(E_F) = 0.24 states/eV/atom; final energy = -0.9282 eV per atom; polymorph energy (0 for the lowest one) = 0.0000 eV per atom; energy relative to the elements = 10 kJ per mole of atoms
1.0
8.975 -3.065 0.000
8.975 3.065 0.000
-0.300 0.000 6.214
Zn Hg Pb
2 8 2
Direct
0.112 0.112 0.332
0.888 0.888 0.668
0.167 0.666 0.049
0.226 0.226 0.653
0.262 0.738 0.500
0.334 0.833 0.951
0.666 0.167 0.049
0.738 0.262 0.500
0.774 0.774 0.347
0.833 0.334 0.951
0.264 0.264 0.152
0.736 0.736 0.848

***

No. 18
Eu2YPt, optimized geometry, DFT PBE; DOS(E_F) = 3.57 states/eV/atom; final energy = -8.4738 eV per atom; energy relative to the elements = -20 kJ per mole of atoms
1.0
1.910 1.103 10.735
-1.910 1.103 10.735
0.000 -2.206 10.735
Eu Y Pt
2 1 1
Direct
0.109 0.109 0.109
0.891 0.891 0.891
0.000 0.000 0.000
0.500 0.500 0.500

***

No. 19
La2CePrBi5, optimized geometry, DFT PBE; DOS(E_F) = 0.96 states/eV/atom; final energy = -4.6764 eV per atom; energy relative to the elements = -23 kJ per mole of atoms
1.0
5.577 0.000 0.000
0.000 5.577 0.000
0.000 0.000 12.146
La Ce Pr Bi
2 1 1 5
Direct
0.000 0.000 0.223
0.000 0.000 0.777
0.500 0.500 0.000
0.500 0.500 0.500
0.000 0.000 0.500
0.000 0.500 0.000
0.500 0.000 0.000
0.500 0.500 0.250
0.500 0.500 0.750

***

No. 20
TbNi2Sn, optimized geometry, DFT PBE; DOS(E_F) = 0.49 states/eV/atom; final energy = -5.5263 eV per atom; energy relative to the elements = -46 kJ per mole of atoms
1.0
7.200 0.000 0.000
0.000 6.697 0.000
0.000 0.000 6.137
Tb Ni Sn
4 8 4
Direct
0.021 0.250 0.177
0.479 0.750 0.677
0.521 0.250 0.323
0.979 0.750 0.823
0.176 0.059 0.556
0.176 0.441 0.556
0.324 0.559 0.056
0.324 0.941 0.056
0.676 0.059 0.944
0.676 0.441 0.944
0.824 0.559 0.444
0.824 0.941 0.444
0.127 0.750 0.326
0.373 0.250 0.826
0.627 0.750 0.174
0.873 0.250 0.674